## Pr6Er2Mg (PBE)

Data for Pr6Er2Mg after structural relaxation.

Properties
E_form = 0.025 eV per atom
ΔE to the lowest computed polymorph = 0.00 eV per formula unit
Magnetic moment = 0.00 μB/atom
DOS at the Fermi energy = 1.516 states/eV/atom

Cell: 5.187 10.815 10.814 Å, 90.00 90.01 90.00°
Positions (direct):
Pr (0.000, 0.004, 0.169)
Pr (0.000, 0.669, 0.504)
Pr (0.000, 0.658, 0.842)
Pr (0.500, 0.158, 0.658)
Pr (0.500, 0.169, 0.996)
Pr (0.500, 0.504, 0.331)
Pr (0.000, 0.996, 0.831)
Pr (0.000, 0.331, 0.496)
Pr (0.000, 0.342, 0.158)
Pr (0.500, 0.842, 0.342)
Pr (0.500, 0.831, 0.004)
Pr (0.500, 0.496, 0.669)
Er (0.000, 0.327, 0.827)
Er (0.500, 0.827, 0.673)
Er (0.500, 0.173, 0.327)
Er (0.000, 0.673, 0.173)
Mg (0.500, 0.500, 0.000)
Mg (0.000, 0.000, 0.500)

***

## Fe3Co2Ni (PBE)

Data for Fe3Co2Ni after structural relaxation.

Properties
E_form = -0.012 eV per atom
ΔE to the lowest computed polymorph = 0.00 eV per formula unit
Magnetic moment = 2.09 μB/atom
DOS at the Fermi energy = 0.989 states/eV/atom

Cell: 3.003 3.920 6.198 Å, 108.43 90.00 90.00°
Site moments in Bohr magnetons follow the coordinates.
Positions (direct):
Fe (0.500, 0.500, 0.000)  2.79
Fe (0.500, 0.832, 0.664)  2.81
Fe (0.500, 0.168, 0.336)  2.81
Co (0.000, 0.335, 0.671)  1.76
Co (0.000, 0.665, 0.329)  1.76
Ni (0.000, 0.000, 0.000)  0.78

***

## CdGe2Ir2 (PBE)

Data for CdGe2Ir2 after structural relaxation.

Properties
E_form = -0.060 eV per atom
ΔE to the lowest computed polymorph = 0.33 eV per formula unit
Magnetic moment = 0.00 μB/atom
DOS at the Fermi energy = 0.434 states/eV/atom

Cell: 7.485 7.485 2.939 Å, 90.00 90.00 90.00°
Positions (direct):
Ge (0.149, 0.649, 0.500)
Ge (0.649, 0.851, 0.500)
Ge (0.851, 0.351, 0.500)
Ge (0.351, 0.149, 0.500)
Ir (0.354, 0.854, 0.000)
Ir (0.854, 0.646, 0.000)
Ir (0.646, 0.146, 0.000)
Ir (0.146, 0.354, 0.000)
Cd (0.000, 0.000, 0.000)
Cd (0.500, 0.500, 0.000)